Density functional theory data (PBE+U) for a relaxed LiDyMnF6 crystal.

Cell lengths 5.432, 5.432, 9.390 Å; angles 90.00, 90.00, 120.00 degrees
Sites, in units of the cell vectors:
Li: 0.333 0.667 0.250
Li: 0.667 0.333 0.750
Dy: 0.333 0.667 0.750
Dy: 0.667 0.333 0.250
Mn: 0.000 0.000 0.000
Mn: 0.000 0.000 0.500
F: 0.015 0.338 0.130
F: 0.015 0.677 0.370
F: 0.323 0.338 0.370
F: 0.323 0.985 0.130
F: 0.338 0.015 0.630
F: 0.338 0.323 0.870
F: 0.662 0.677 0.130
F: 0.662 0.985 0.370
F: 0.677 0.015 0.870
F: 0.677 0.662 0.630
F: 0.985 0.323 0.630
F: 0.985 0.662 0.870

## Properties
Magnetic moment in μB/f.u.: 5.00
Crystal system: trigonal
E_tot in eV/atom: -6.143